(1)
{"formula": "RbAsSe3", "functional": "PBE", "state": "optimized geometry", "sg": "P2_1, No. 4", "dos_at_fermi_per_ev_cell": 4.39, "cell": [[5.321, 0.000, 0.000], [0.000, 6.539, 0.000], [-0.016, 0.000, 9.638]], "species": ["Rb", "Rb", "As", "As", "Se", "Se", "Se", "Se", "Se", "Se"], "fractional_positions": [[0.249, 0.000, 0.268], [0.751, 0.500, 0.732], [0.250, 0.986, 0.859], [0.750, 0.486, 0.141], [0.003, 0.502, 0.364], [0.252, 0.318, 0.950], [0.499, 0.498, 0.364], [0.501, 0.998, 0.636], [0.748, 0.818, 0.050], [0.997, 0.002, 0.636]]}

(2)
{"formula": "RbAsSe2", "functional": "PBE", "state": "optimized geometry", "sg": "I-42d, No. 122", "dos_at_fermi_per_ev_cell": 0.11, "cell": [[-3.911, 3.911, 4.762], [3.911, -3.911, 4.762], [3.911, 3.911, -4.762]], "species": ["Rb", "Rb", "As", "As", "Se", "Se", "Se", "Se"], "fractional_positions": [[0.000, 0.000, 0.000], [0.750, 0.250, 0.500], [0.250, 0.750, 0.500], [0.500, 0.500, 0.000], [0.221, 0.625, 0.096], [0.375, 0.471, 0.596], [0.529, 0.125, 0.904], [0.875, 0.779, 0.404]]}

(3)
{"formula": "RbAsSe3", "functional": "PBE", "state": "optimized geometry", "sg": "R3c, No. 161", "dos_at_fermi_per_ev_cell": 8.56, "cell": [[4.316, 2.492, 4.742], [-4.316, 2.492, 4.742], [0.000, -4.984, 4.742]], "species": ["Rb", "Rb", "As", "As", "Se", "Se", "Se", "Se", "Se", "Se"], "fractional_positions": [[0.000, 0.000, 0.000], [0.500, 0.500, 0.500], [0.261, 0.261, 0.261], [0.761, 0.761, 0.761], [0.157, 0.959, 0.463], [0.459, 0.657, 0.963], [0.463, 0.157, 0.959], [0.657, 0.963, 0.459], [0.959, 0.463, 0.157], [0.963, 0.459, 0.657]]}

(4)
{"formula": "RbAsSe3", "functional": "PBE", "state": "optimized geometry", "sg": "Pm-3m, No. 221", "dos_at_fermi_per_ev_cell": 8.36, "cell": [[5.977, 0.000, 0.000], [0.000, 5.977, 0.000], [0.000, 0.000, 5.977]], "species": ["Rb", "As", "Se", "Se", "Se"], "fractional_positions": [[0.000, 0.000, 0.000], [0.500, 0.500, 0.500], [0.000, 0.000, 0.500], [0.000, 0.500, 0.000], [0.500, 0.000, 0.000]]}

(5)
{"formula": "RbAs2Se2", "functional": "PBE", "state": "optimized geometry", "relative_energy_mev_per_atom": 29, "sg": "I4/mmm, No. 139", "dos_at_fermi_per_ev_cell": 2.17, "cell": [[-2.723, 2.723, 4.554], [2.723, -2.723, 4.554], [2.723, 2.723, -4.554]], "species": ["Rb", "As", "As", "Se", "Se"], "fractional_positions": [[0.000, 0.000, 0.000], [0.355, 0.355, 0.000], [0.645, 0.645, 0.000], [0.250, 0.750, 0.500], [0.750, 0.250, 0.500]]}

(6)
{"formula": "RbAsSe2", "functional": "PBE", "state": "optimized geometry", "sg": "C2/c, No. 15", "dos_at_fermi_per_ev_cell": 0.00, "cell": [[11.924, -5.104, 0.000], [11.924, 5.104, 0.000], [-1.999, 0.000, 9.492]], "species": ["Rb", "Rb", "Rb", "Rb", "Rb", "Rb", "Rb", "Rb", "As", "As", "As", "As", "As", "As", "As", "As", "Se", "Se", "Se", "Se", "Se", "Se", "Se", "Se", "Se", "Se", "Se", "Se", "Se", "Se", "Se", "Se"], "fractional_positions": [[0.001, 0.999, 0.750], [0.124, 0.271, 0.328], [0.271, 0.124, 0.828], [0.465, 0.535, 0.750], [0.535, 0.465, 0.250], [0.729, 0.876, 0.172], [0.876, 0.729, 0.672], [0.999, 0.001, 0.250], [0.191, 0.590, 0.350], [0.205, 0.490, 0.957], [0.410, 0.809, 0.150], [0.490, 0.205, 0.457], [0.510, 0.795, 0.543], [0.590, 0.191, 0.850], [0.795, 0.510, 0.043], [0.809, 0.410, 0.650], [0.016, 0.191, 0.558], [0.088, 0.520, 0.156], [0.191, 0.016, 0.058], [0.224, 0.659, 0.007], [0.256, 0.442, 0.534], [0.341, 0.776, 0.493], [0.442, 0.256, 0.034], [0.480, 0.912, 0.344], [0.520, 0.088, 0.656], [0.558, 0.744, 0.966], [0.659, 0.224, 0.507], [0.744, 0.558, 0.466], [0.776, 0.341, 0.993], [0.809, 0.984, 0.942], [0.912, 0.480, 0.844], [0.984, 0.809, 0.442]]}

Number 1: ρ 3.935 Mg/m³, formation energy from raw total energies -0.429 eV/atom. Number 2: ρ 3.627 Mg/m³, formation energy from raw total energies -0.481 eV/atom. Number 3: ρ 4.311 Mg/m³, formation energy from raw total energies -0.279 eV/atom. Number 4: ρ 3.089 Mg/m³, formation energy from raw total energies 1.444 eV/atom. Number 5: ρ 4.834 Mg/m³, formation energy from raw total energies -0.177 eV/atom. Number 6: ρ 3.660 Mg/m³, formation energy from raw total energies -0.627 eV/atom.